Entry 1:
DFT (PBE-GGA) results for an optimized crystal structure of Tb2SmZn2.

The structure in POSCAR format:
```
Tb2SmZn2
1.0
3.638 0.000 0.000
0.000 5.219 0.000
-1.824 0.000 13.298
Tb Sm Zn
4 2 4
Direct
0.046 0.250 0.093
0.232 0.250 0.465
0.768 0.750 0.535
0.954 0.750 0.907
0.144 0.750 0.286
0.856 0.250 0.714
0.360 0.750 0.720
0.453 0.250 0.905
0.547 0.750 0.095
0.640 0.250 0.280
```

Summary:
E_form = -1.294 eV/f.u.
crystal system = monoclinic


Entry 2:
DFT (PBE-GGA) results for an optimized crystal structure of Tb3Sm2Zn2.

The structure in POSCAR format:
```
Tb3Sm2Zn2
1.0
11.505 0.000 0.000
0.000 4.730 0.000
-3.670 0.000 7.278
Tb Sm Zn
6 4 4
Direct
0.000 0.000 0.000
0.134 0.000 0.464
0.366 0.500 0.536
0.500 0.500 0.000
0.634 0.500 0.464
0.866 0.000 0.536
0.136 0.500 0.793
0.364 0.000 0.207
0.636 0.000 0.793
0.864 0.500 0.207
0.145 0.500 0.189
0.355 0.000 0.811
0.645 0.000 0.189
0.855 0.500 0.811
```

Summary:
E_form = -0.582 eV/f.u.
crystal system = monoclinic


Entry 3:
DFT (PBE-GGA) results for an optimized crystal structure of TbSm3Zn2.

The structure in POSCAR format:
```
TbSm3Zn2
1.0
3.639 0.000 0.000
0.000 3.639 0.000
0.000 0.000 12.293
Tb Sm Zn
1 3 2
Direct
0.000 0.000 0.000
0.500 0.500 0.207
0.500 0.500 0.500
0.500 0.500 0.793
0.000 0.000 0.354
0.000 0.000 0.646
```

Summary:
E_form = -1.251 eV/f.u.
crystal system = tetragonal


Entry 4:
DFT (PBE-GGA) results for an optimized crystal structure of TbSm3Zn2.

The structure in POSCAR format:
```
TbSm3Zn2
1.0
-3.497 7.201 3.654
3.497 -7.201 3.654
3.497 7.201 -3.654
Tb Sm Zn
2 6 4
Direct
0.000 0.000 0.000
0.500 0.500 0.000
0.022 0.250 0.772
0.250 0.750 0.500
0.478 0.250 0.228
0.522 0.750 0.772
0.750 0.250 0.500
0.978 0.750 0.228
0.138 0.706 0.844
0.362 0.206 0.568
0.638 0.794 0.432
0.862 0.294 0.156
```

Summary:
E_form = 0.313 eV/f.u.
crystal system = orthorhombic